# 1
{"formula": "MgAgP", "functional": "PBE", "state": "optimized geometry", "dos_at_fermi_per_ev_fu": 0.0, "total_magnetization_mub_per_atom": 0.000, "e_tot_ev_per_cell": -21.1, "formation_enthalpy_0k_ev_per_fu": -0.67, "lattice_angstrom": [[4.221, 0.001, -0.001], [-2.113, 3.655, 0.001], [-0.001, 0.002, 7.431]], "species": ["Mg", "Mg", "Ag", "Ag", "P", "P"], "frac_coords": [[0.758, 0.574, 0.477], [0.759, 0.574, 0.977], [0.092, 0.240, 0.747], [0.426, 0.907, 0.247], [0.093, 0.241, 0.096], [0.425, 0.907, 0.596]]}

# 2
{"formula": "DyTm3Al4", "functional": "PBE", "state": "optimized geometry", "dos_at_fermi_per_ev_fu": 3.0, "total_magnetization_mub_per_atom": 0.000, "e_tot_ev_per_cell": -72.2, "formation_enthalpy_0k_ev_per_fu": -3.13, "lattice_angstrom": [[-3.282, -2.975, -2.403], [4.606, -5.409, 0.407], [-3.995, -2.736, 8.841]], "species": ["Tm", "Tm", "Tm", "Tm", "Tm", "Tm", "Al", "Al", "Al", "Al", "Al", "Al", "Al", "Al", "Dy", "Dy"], "frac_coords": [[0.000, 0.000, 0.500], [0.500, 0.500, 0.750], [0.500, 0.000, 0.250], [0.500, 0.500, 0.250], [0.500, 0.000, 0.750], [0.000, 0.000, 0.000], [0.500, 0.247, 0.500], [0.000, 0.247, 0.750], [0.000, 0.247, 0.250], [0.000, 0.753, 0.250], [0.500, 0.753, 0.000], [0.000, 0.753, 0.750], [0.500, 0.247, 0.000], [0.500, 0.753, 0.500], [0.000, 0.500, 0.000], [0.000, 0.500, 0.500]]}

# 3
{"formula": "YTlPb2Cl8", "functional": "PBE", "state": "optimized geometry", "dos_at_fermi_per_ev_fu": 0.0, "total_magnetization_mub_per_atom": 0.000, "e_tot_ev_per_cell": -49.0, "raw_formation_energy_ev_per_fu": -18.02, "lattice_angstrom": [[-5.264, 3.064, -3.166], [-3.645, -5.442, 0.582], [-3.062, 2.892, 7.890]], "species": ["Tl", "Cl", "Cl", "Cl", "Cl", "Cl", "Cl", "Cl", "Cl", "Pb", "Pb", "Y"], "frac_coords": [[0.000, 0.000, 0.500], [0.688, 0.756, 0.000], [0.368, 0.276, 0.500], [0.840, 0.231, 0.788], [0.840, 0.230, 0.212], [0.312, 0.244, 0.000], [0.160, 0.769, 0.212], [0.632, 0.724, 0.500], [0.160, 0.770, 0.788], [0.500, 0.500, 0.250], [0.500, 0.500, 0.750], [0.000, 0.000, 0.000]]}

# 4
{"formula": "Pm9Sm2Th", "functional": "PBE", "state": "optimized geometry", "dos_at_fermi_per_ev_fu": 18.6, "total_magnetization_mub_per_atom": 0.000, "e_tot_ev_per_cell": -59.3, "formation_enthalpy_0k_ev_per_fu": 0.33, "lattice_angstrom": [[-2.273, 4.528, -0.895], [-4.542, -2.015, 1.336], [2.477, 4.144, 14.670]], "species": ["Sm", "Sm", "Pm", "Pm", "Pm", "Pm", "Pm", "Pm", "Pm", "Pm", "Pm", "Th"], "frac_coords": [[0.000, 0.000, 0.667], [0.000, 0.000, 0.333], [0.500, 0.500, 0.334], [0.500, 0.500, 0.000], [0.500, 0.000, 0.164], [0.500, 0.000, 0.500], [0.000, 0.500, 0.500], [0.000, 0.500, 0.836], [0.000, 0.500, 0.164], [0.500, 0.500, 0.666], [0.500, 0.000, 0.836], [0.000, 0.000, 0.000]]}

# 5
{"formula": "AgPb2Cl", "functional": "PBE", "state": "optimized geometry", "dos_at_fermi_per_ev_fu": 1.9, "total_magnetization_mub_per_atom": 0.000, "e_tot_ev_per_cell": -12.8, "raw_formation_energy_ev_per_fu": -0.65, "lattice_angstrom": [[-2.891, -1.027, -1.803], [3.058, 0.393, -1.777], [2.188, -9.199, 1.730]], "species": ["Pb", "Pb", "Ag", "Cl"], "frac_coords": [[0.000, 0.000, 0.980], [0.500, 0.500, 0.281], [0.000, 0.000, 0.520], [0.500, 0.500, 0.719]]}

# 6
{"formula": "LaScFe", "functional": "PBE", "state": "optimized geometry", "dos_at_fermi_per_ev_fu": 2.0, "total_magnetization_mub_per_atom": 0.000, "e_tot_ev_per_cell": -19.0, "relative_energy_ev_per_fu": 0.67, "formation_enthalpy_0k_ev_per_fu": 0.68, "lattice_angstrom": [[-2.376, 0.532, 2.964], [2.844, -2.561, 0.258], [3.573, 4.180, 2.113]], "species": ["La", "Fe", "Sc"], "frac_coords": [[0.667, 0.333, 0.243], [0.000, 0.000, 0.984], [0.333, 0.667, 0.772]]}

# 7
{"formula": "Pr2ErCu3", "functional": "PBE", "state": "optimized geometry", "dos_at_fermi_per_ev_fu": 4.2, "total_magnetization_mub_per_atom": 0.000, "e_tot_ev_per_cell": -54.8, "formation_enthalpy_0k_ev_per_fu": -1.01, "lattice_angstrom": [[2.496, -7.538, 0.000], [2.496, 7.538, 0.000], [0.000, 0.000, 7.202]], "species": ["Pr", "Pr", "Pr", "Pr", "Er", "Er", "Cu", "Cu", "Cu", "Cu", "Cu", "Cu"], "frac_coords": [[0.000, 0.000, 0.000], [0.000, 0.000, 0.500], [0.334, 0.666, 0.500], [0.666, 0.334, 0.500], [0.668, 0.332, 0.000], [0.332, 0.668, 0.000], [0.827, 0.173, 0.227], [0.827, 0.173, 0.773], [0.173, 0.827, 0.227], [0.500, 0.500, 0.235], [0.500, 0.500, 0.765], [0.173, 0.827, 0.773]]}

# 8
{"formula": "CaVP2S", "functional": "PBE", "state": "optimized geometry", "dos_at_fermi_per_ev_fu": 7.5, "total_magnetization_mub_per_atom": 0.497, "e_tot_ev_per_cell": -20.8, "relative_energy_ev_per_fu": 7.90, "raw_formation_energy_ev_per_fu": 5.28, "lattice_angstrom": [[5.082, 0.000, 0.000], [0.000, 5.082, 0.000], [0.000, 0.000, 5.042]], "species": ["P", "P", "S", "V", "Ca"], "frac_coords": [[0.500, 0.000, 0.000], [0.000, 0.500, 0.000], [0.000, 0.000, 0.500], [0.500, 0.500, 0.500], [0.000, 0.000, 0.000]]}

# 9
{"formula": "Cs2CdBS4", "functional": "PBE", "state": "optimized geometry", "dos_at_fermi_per_ev_fu": 6.6, "total_magnetization_mub_per_atom": 0.132, "e_tot_ev_per_cell": -62.4, "raw_formation_energy_ev_per_fu": -5.41, "lattice_angstrom": [[6.085, 0.000, 0.000], [3.042, 6.879, 0.000], [3.042, 0.000, 12.443]], "species": ["Cs", "Cs", "Cs", "Cs", "B", "B", "S", "S", "S", "S", "S", "S", "S", "S", "Cd", "Cd"], "frac_coords": [[0.824, 0.000, 0.351], [0.574, 0.500, 0.851], [0.926, 0.500, 0.149], [0.176, 0.000, 0.649], [0.250, 0.500, 0.500], [0.500, 0.000, 0.000], [0.393, 0.665, 0.408], [0.551, 0.165, 0.092], [0.284, 0.165, 0.908], [0.199, 0.335, 0.408], [0.808, 0.835, 0.908], [0.466, 0.335, 0.592], [0.942, 0.665, 0.592], [0.357, 0.835, 0.092], [0.750, 0.500, 0.500], [0.000, 0.000, 0.000]]}

# 10
{"formula": "BaZnI2", "functional": "PBE", "state": "optimized geometry", "dos_at_fermi_per_ev_fu": 0.0, "total_magnetization_mub_per_atom": 0.000, "e_tot_ev_per_cell": -20.1, "relative_energy_ev_per_fu": 0.46, "raw_formation_energy_ev_per_fu": -3.77, "lattice_angstrom": [[9.787, 0.000, 0.000], [0.000, 9.787, 0.000], [4.893, 4.893, 4.254]], "species": ["Zn", "Zn", "I", "I", "I", "I", "Ba", "Ba"], "frac_coords": [[0.500, 0.500, 0.000], [0.250, 0.750, 0.500], [0.375, 0.337, 0.750], [0.663, 0.125, 0.250], [0.875, 0.913, 0.750], [0.087, 0.625, 0.250], [0.000, 0.000, 0.000], [0.750, 0.250, 0.500]]}

# 11
{"formula": "RhPb3Se", "functional": "PBE", "state": "optimized geometry", "dos_at_fermi_per_ev_fu": 4.6, "total_magnetization_mub_per_atom": 0.000, "e_tot_ev_per_cell": -17.9, "relative_energy_ev_per_fu": 4.37, "raw_formation_energy_ev_per_fu": 4.08, "lattice_angstrom": [[-2.575, 3.881, -3.073], [-0.590, -3.680, -4.153], [-4.916, -1.592, 2.109]], "species": ["Se", "Pb", "Pb", "Pb", "Rh"], "frac_coords": [[0.000, 0.000, 0.000], [0.500, 0.000, 0.000], [0.000, 0.500, 0.000], [0.000, 0.000, 0.500], [0.500, 0.500, 0.500]]}

# 12
{"formula": "SiSnAs2Br", "functional": "PBE", "state": "optimized geometry", "dos_at_fermi_per_ev_fu": 4.4, "total_magnetization_mub_per_atom": 0.000, "e_tot_ev_per_cell": -18.5, "relative_energy_ev_per_fu": 0.00, "raw_formation_energy_ev_per_fu": 1.88, "lattice_angstrom": [[4.892, 0.000, 0.000], [0.000, 4.892, 0.000], [0.000, 0.000, 5.084]], "species": ["Br", "As", "As", "Si", "Sn"], "frac_coords": [[0.000, 0.000, 0.500], [0.000, 0.500, 0.000], [0.500, 0.000, 0.000], [0.000, 0.000, 0.000], [0.500, 0.500, 0.500]]}

Repeat the first record exactly.
{"formula": "MgAgP", "functional": "PBE", "state": "optimized geometry", "dos_at_fermi_per_ev_fu": 0.0, "total_magnetization_mub_per_atom": 0.000, "e_tot_ev_per_cell": -21.1, "formation_enthalpy_0k_ev_per_fu": -0.67, "lattice_angstrom": [[4.221, 0.001, -0.001], [-2.113, 3.655, 0.001], [-0.001, 0.002, 7.431]], "species": ["Mg", "Mg", "Ag", "Ag", "P", "P"], "frac_coords": [[0.758, 0.574, 0.477], [0.759, 0.574, 0.977], [0.092, 0.240, 0.747], [0.426, 0.907, 0.247], [0.093, 0.241, 0.096], [0.425, 0.907, 0.596]]}

Q: Which formula does entry 6 have?
A: LaScFe